Entry 1:
A geometry-optimized LiLaMnS2 structure, computed with PBE.

Crystal system   tetragonal
Space-group type   P4/mmm, No. 123
Final energy   -27.2 eV for the cell shown

The structure in POSCAR format:
```
LiLaMnS2
1.0
-2.365 4.001 -0.815
-1.886 -0.347 3.769
3.499 2.471 1.979
S Mn Li La
2 1 1 1
direct
0.000 0.000 0.500 S
0.500 0.000 0.000 S
0.000 0.500 0.000 Mn
0.000 0.000 0.000 Li
0.500 0.500 0.500 La
```

---

Entry 2:
A geometry-optimized LiLaMnSe3 structure, computed with PBE.

Crystal system   monoclinic
Space-group type   P2_1/m, No. 11
Final energy   -68.0 eV for the cell shown

The structure in POSCAR format:
```
LiLaMnSe3
1.0
4.076 0.000 0.000
0.000 7.897 -0.144
0.000 -2.278 8.618
Li La Mn Se
2 2 2 6
direct
0.250 0.102 0.598 Li
0.750 0.898 0.402 Li
0.250 0.208 0.244 La
0.750 0.792 0.756 La
0.250 0.674 0.154 Mn
0.750 0.326 0.846 Mn
0.750 0.904 0.126 Se
0.250 0.096 0.874 Se
0.250 0.761 0.485 Se
0.750 0.239 0.515 Se
0.750 0.445 0.155 Se
0.250 0.555 0.845 Se
```

---

Entry 3:
A geometry-optimized LiLa2MnSe5 structure, computed with PBE.

Crystal system   orthorhombic
Space-group type   Cmc2_1, No. 36
Final energy   -103.5 eV for the cell shown

The structure in POSCAR format:
```
LiLa2MnSe5
1.0
4.213 0.000 0.000
-2.106 8.965 0.000
0.000 0.000 11.335
Li La Mn Se
2 4 2 10
direct
0.781 0.563 0.503 Li
0.219 0.437 0.003 Li
0.890 0.781 0.808 La
0.126 0.253 0.688 La
0.110 0.219 0.308 La
0.874 0.747 0.188 La
0.594 0.189 0.983 Mn
0.406 0.811 0.483 Mn
0.358 0.716 0.998 Se
0.704 0.409 0.843 Se
0.519 0.039 0.796 Se
0.313 0.627 0.651 Se
0.967 0.935 0.554 Se
0.642 0.284 0.498 Se
0.296 0.591 0.343 Se
0.481 0.961 0.296 Se
0.687 0.373 0.151 Se
0.033 0.065 0.054 Se
```